Entry 1:
Entry from Alexandria: a geometry-optimized Pr2Al7Ag12 structure (PBE).

a = 4.149 Å, b = 10.665 Å, c = 10.665 Å
α = 120.00°, β = 90.00°, γ = 90.00°
Fractional coordinates of all 21 atoms:
Ag (0.759, 0.860, 0.121)
Ag (0.248, 0.623, 0.059)
Pr (0.755, 0.667, 0.333)
Al (0.745, 0.116, 0.706)
Al (0.745, 0.294, 0.410)
Ag (0.752, 0.564, 0.623)
Al (0.255, 0.884, 0.294)
Al (0.255, 0.706, 0.590)
Ag (0.241, 0.739, 0.860)
Pr (0.245, 0.333, 0.667)
Ag (0.241, 0.140, 0.879)
Ag (0.248, 0.436, 0.377)
Ag (0.248, 0.941, 0.564)
Ag (0.759, 0.261, 0.140)
Al (0.500, 0.000, 0.000)
Ag (0.241, 0.121, 0.261)
Al (0.255, 0.410, 0.116)
Ag (0.752, 0.377, 0.941)
Ag (0.759, 0.879, 0.739)
Al (0.745, 0.590, 0.884)
Ag (0.752, 0.059, 0.436)

Computed properties:
* energy: -73.35 eV per cell
* SG: P-3
* magnetic moment: 0.000 μB per formula unit
* formation energy: -161 meV per atom
* crystal system: trigonal

---

Entry 2:
Entry from Alexandria: a geometry-optimized PrAlAg structure (PBE).

a = 3.395 Å, b = 3.395 Å, c = 6.380 Å
α = 105.43°, β = 105.43°, γ = 90.00°
Fractional coordinates of all 3 atoms:
Al (0.641, 0.641, 0.282)
Pr (0.953, 0.953, 0.905)
Ag (0.256, 0.256, 0.513)

Computed properties:
* energy: -12.00 eV per cell
* SG: I4mm
* magnetic moment: 0.000 μB per formula unit
* formation energy: -208 meV per atom
* crystal system: tetragonal

---

Entry 3:
Entry from Alexandria: a geometry-optimized Pr3Al2Ag3 structure (PBE).

a = 5.894 Å, b = 8.568 Å, c = 15.810 Å
α = 90.00°, β = 90.00°, γ = 90.00°
Fractional coordinates of all 32 atoms:
Ag (0.386, 0.686, 0.963)
Pr (0.121, 0.187, 0.750)
Ag (0.614, 0.314, 0.037)
Pr (0.632, 0.050, 0.606)
Ag (0.886, 0.814, 0.037)
Ag (0.890, 0.836, 0.750)
Ag (0.110, 0.164, 0.250)
Al (0.630, 0.601, 0.397)
Al (0.870, 0.101, 0.103)
Al (0.370, 0.399, 0.897)
Pr (0.368, 0.950, 0.394)
Ag (0.610, 0.336, 0.750)
Pr (0.132, 0.450, 0.394)
Ag (0.390, 0.664, 0.250)
Pr (0.621, 0.313, 0.250)
Pr (0.868, 0.550, 0.606)
Ag (0.614, 0.314, 0.463)
Pr (0.132, 0.450, 0.106)
Al (0.370, 0.399, 0.603)
Al (0.870, 0.101, 0.397)
Al (0.130, 0.899, 0.897)
Pr (0.379, 0.687, 0.750)
Pr (0.632, 0.050, 0.894)
Ag (0.886, 0.814, 0.463)
Pr (0.368, 0.950, 0.106)
Ag (0.114, 0.186, 0.537)
Al (0.130, 0.899, 0.603)
Pr (0.879, 0.813, 0.250)
Ag (0.386, 0.686, 0.537)
Ag (0.114, 0.186, 0.963)
Pr (0.868, 0.550, 0.894)
Al (0.630, 0.601, 0.103)

Computed properties:
* energy: -131.22 eV per cell
* SG: Pnma
* magnetic moment: 0.000 μB per formula unit
* formation energy: -303 meV per atom
* crystal system: orthorhombic